Entry 1:
MnAlTcAu: optimized geometry, PBE.

Summary:
formation enthalpy at 0 K = -0.4 eV/f.u.
total moment = 0.939 μB/atom
V = 59.4 Å³/cell
space group = No. 216

POSCAR file:
```
MnAlTcAu
1.0
4.380 0.000 0.000
2.190 3.793 0.000
2.190 1.264 3.576
Mn Au Tc Al
1 1 1 1
direct
0.500 0.500 0.500
0.750 0.750 0.750
0.250 0.250 0.250
0.000 0.000 0.000
```

***

Entry 2:
Th2MnAl4Au3: optimized geometry, PBE.

Summary:
formation enthalpy at 0 K = -5.8 eV/f.u.
total moment = 0.330 μB/atom
V = 201.5 Å³/cell
space group = No. 115

POSCAR file:
```
Th2MnAl4Au3
1.0
-2.034 -1.106 -3.678
3.159 -2.848 -0.891
-5.361 -7.588 5.246
Th Mn Al Au
2 1 4 3
direct
0.500 0.000 0.257
0.000 0.500 0.743
0.500 0.500 0.500
0.500 0.500 0.000
0.000 0.000 0.000
0.500 0.000 0.632
0.000 0.500 0.368
0.000 0.000 0.500
0.500 0.000 0.869
0.000 0.500 0.131
```